[1]
## TlCl6F2 (PBE)

Data for a geometry-optimized TlCl6F2 structure.

a = 3.4788 Å, b = 8.9907 Å, c = 9.0433 Å
α = 91.39°, β = 100.17°, γ = 100.00°
Last column: nearest neighbours and their distance in Å.
Positions (direct):
Tl 0.0000 0.0000 0.0000  4 F 2.26
Cl 0.0683 0.4243 0.7352  1 Cl 1.97
Cl 0.0714 0.7377 0.4264  1 Cl 1.97
Cl 0.1896 0.2075 0.2080  1 Tl 2.53
Cl 0.8104 0.7925 0.7920  1 Tl 2.53
Cl 0.9286 0.2623 0.5736  1 Cl 1.97
Cl 0.9317 0.5757 0.2648  1 Cl 1.97
F 0.4995 0.1127 0.8888  2 Tl 2.26
F 0.5005 0.8873 0.1112  2 Tl 2.26

space group: P-1, No. 2

[2]
## TlCl3F (PBE)

Data for a geometry-optimized TlCl3F structure.

a = 6.1520 Å, b = 6.5233 Å, c = 7.5762 Å
α = 90.59°, β = 91.44°, γ = 108.79°
Last column: nearest neighbours and their distance in Å.
Positions (direct):
Tl 0.0000 0.0000 0.0000  2 F 2.25-2.29
Tl 0.2967 0.5794 0.1270  2 F 2.22-2.23
Cl 0.1415 0.7216 0.8372  2 Tl 2.57-2.66
Cl 0.1940 0.8899 0.2847  2 Tl 2.60-2.65
Cl 0.4644 0.4679 0.4159  1 Cl 2.33, 1 Tl 2.61
Cl 0.6573 0.7957 0.5591  2 Cl 2.25-2.33
Cl 0.8420 0.1120 0.6989  1 Cl 2.25
Cl 0.8850 0.2845 0.1795  2 Tl 2.58-2.68
F 0.3193 0.2960 0.9709  2 Tl 2.23-2.29
F 0.6522 0.7612 0.0511  2 Tl 2.22-2.25

space group: P1, No. 1

| no. | volume (Å³ per cell) | formation energy (no corrections) (eV/f.u.) |
| --- | --- | --- |
| 1 | 274 | -4.614 |
| 2 | 288 | -4.102 |